Entry 1:
BaBi3Br | GGA-PBE | optimized geometry

Properties
Polymorph energy (0 for the lowest one), eV per atom: 0.0000
Raw formation energy, eV/atom: 0.03
Calculated density, kg/m3: 7105
Space-group type: Pm-3m (221)
Total moment, Bohr magnetons per cell: 0.0

Cell lengths 5.822, 5.822, 5.822 Å; angles 90.00, 90.00, 90.00 degrees
Fractional positions:
Ba  0.000  0.000  0.000
Bi  0.000  0.500  0.500
Bi  0.500  0.000  0.500
Bi  0.500  0.500  0.000
Br  0.500  0.500  0.500

Entry 2:
HfTl3Os | GGA-PBE | optimized geometry

Properties
Polymorph energy (0 for the lowest one), eV per atom: 0.7090
ΔE_f, eV per atom: 1.817
Calculated density, kg/m3: 9517
Space-group type: Pm-3m (221)
Total moment, Bohr magnetons per cell: 3.2

Cell lengths 5.554, 5.554, 5.554 Å; angles 90.00, 90.00, 90.00 degrees
Fractional positions:
Hf  0.000  0.000  0.000
Tl  0.000  0.000  0.500
Tl  0.000  0.500  0.000
Tl  0.500  0.000  0.000
Os  0.500  0.500  0.500

Entry 3:
KRe3Ir | GGA-PBE | optimized geometry

Properties
Polymorph energy (0 for the lowest one), eV per atom: 0.0000
ΔE_f, eV per atom: 2.173
Calculated density, kg/m3: 11449
Space-group type: Pm-3m (221)
Total moment, Bohr magnetons per cell: 3.0

Cell lengths 4.857, 4.857, 4.857 Å; angles 90.00, 90.00, 90.00 degrees
Fractional positions:
K  0.000  0.000  0.000
Re  0.000  0.500  0.500
Re  0.500  0.000  0.500
Re  0.500  0.500  0.000
Ir  0.500  0.500  0.500

Entry 4:
Dy2TlHg9 | GGA-PBE | optimized geometry

Properties
ΔE_f, eV per atom: -0.211
Calculated density, kg/m3: 12642
Space-group type: P4/mmm (123)
Total moment, Bohr magnetons per cell: 0.0

Cell lengths 4.547, 4.547, 14.831 Å; angles 90.00, 90.00, 90.00 degrees
Fractional positions:
Dy  0.000  0.000  0.165
Dy  0.000  0.000  0.835
Tl  0.000  0.000  0.500
Hg  0.000  0.500  0.000
Hg  0.000  0.500  0.319
Hg  0.000  0.500  0.681
Hg  0.500  0.000  0.000
Hg  0.500  0.000  0.319
Hg  0.500  0.000  0.681
Hg  0.500  0.500  0.151
Hg  0.500  0.500  0.500
Hg  0.500  0.500  0.849

Entry 5:
ScSiHg2 | GGA-PBE | optimized geometry

Properties
Raw formation energy, eV/atom: -0.03
Calculated density, kg/m3: 9327
Space-group type: Cm (8)
Total moment, Bohr magnetons per cell: 0.0

Cell lengths 5.369, 5.369, 5.400 Å; angles 109.57, 109.57, 35.40 degrees
Fractional positions:
Sc  0.000  0.000  0.000
Si  0.738  0.738  0.089
Hg  0.235  0.235  0.648
Hg  0.465  0.465  0.455

Entry 6:
Na3NpBr7 | GGA-PBE | optimized geometry

Properties
Raw formation energy, eV/atom: -1.37
Calculated density, kg/m3: 3754
Space-group type: Cm (8)
Total moment, Bohr magnetons per cell: 3.0

Cell lengths 7.617, 7.617, 7.966 Å; angles 113.05, 113.05, 70.77 degrees
Fractional positions:
Na  0.000  0.000  0.000
Na  0.306  0.751  0.454
Na  0.751  0.306  0.454
Np  0.615  0.615  0.030
Br  0.242  0.684  0.765
Br  0.428  0.951  0.268
Br  0.430  0.430  0.143
Br  0.684  0.242  0.765
Br  0.708  0.708  0.757
Br  0.903  0.903  0.266
Br  0.951  0.428  0.268

What did the fifth record say?
ScSiHg2 | GGA-PBE | optimized geometry

Properties
Raw formation energy, eV/atom: -0.03
Calculated density, kg/m3: 9327
Space-group type: Cm (8)
Total moment, Bohr magnetons per cell: 0.0

Cell lengths 5.369, 5.369, 5.400 Å; angles 109.57, 109.57, 35.40 degrees
Fractional positions:
Sc  0.000  0.000  0.000
Si  0.738  0.738  0.089
Hg  0.235  0.235  0.648
Hg  0.465  0.465  0.455